The following is a GGA-PBE calculation of a geometry-optimized Sr2NiPb structure, from Alexandria via LeMat-Bulk.

a = 5.5324 Å, b = 5.5324 Å, c = 3.9345 Å
α = 90.00°, β = 90.00°, γ = 90.00°
Last column: nearest neighbours and their distance in Å.
Fractional coordinates of all 4 atoms:
Sr: 0.0000 0.5000 0.0000  4 Pb 3.39, 4 Ni 3.39
Sr: 0.5000 0.0000 0.0000  4 Pb 3.39, 4 Ni 3.39
Ni: 0.0000 0.0000 0.5000  8 Sr 3.39
Pb: 0.5000 0.5000 0.5000  8 Sr 3.39

Properties
DFT total energy in eV/cell: -13.16
Calculated formation energy in eV per formula unit: -0.3